Here is an optimized crystal structure of K3SrS2O8 from the Alexandria database. Energies are from PBE-GGA.

Summary:
Formation energy without anion corrections ... -1794 meV/atom

Lattice parameters (Å, degrees): 5.6525 5.6525 8.9108 90.00 90.00 120.00
Positions (direct):
K (0.0000, 0.0000, 0.0000)
K (0.3333, 0.6667, 0.7557)
K (0.6667, 0.3333, 0.2443)
Sr (0.0000, 0.0000, 0.5000)
S (0.3333, 0.6667, 0.2192)
S (0.6667, 0.3333, 0.7808)
O (0.1882, 0.3764, 0.2745)
O (0.1882, 0.8118, 0.2745)
O (0.3333, 0.6667, 0.0528)
O (0.3764, 0.1882, 0.7255)
O (0.6236, 0.8118, 0.2745)
O (0.6667, 0.3333, 0.9472)
O (0.8118, 0.1882, 0.7255)
O (0.8118, 0.6236, 0.7255)

Here is an optimized crystal structure of KSrS2O6 from the Alexandria database. Energies are from PBE-GGA.

Summary:
Formation energy without anion corrections ... -1775 meV/atom

Lattice parameters (Å, degrees): 7.3002 7.3002 7.3002 45.48 45.48 45.48
Positions (direct):
K (0.0000, 0.0000, 0.0000)
Sr (0.5000, 0.5000, 0.5000)
S (0.2671, 0.2671, 0.2671)
S (0.7329, 0.7329, 0.7329)
O (0.0192, 0.5128, 0.7450)
O (0.2550, 0.9808, 0.4872)
O (0.4872, 0.2550, 0.9808)
O (0.5128, 0.7450, 0.0192)
O (0.7450, 0.0192, 0.5128)
O (0.9808, 0.4872, 0.2550)

Here is an optimized crystal structure of K2SrSO6 from the Alexandria database. Energies are from PBE-GGA.

Summary:
Formation energy without anion corrections ... -1360 meV/atom

Lattice parameters (Å, degrees): 6.1374 6.1374 6.1406 90.00 90.00 120.00
Positions (direct):
K (0.3333, 0.6667, 0.4047)
K (0.6667, 0.3333, 0.5953)
Sr (0.0000, 0.0000, 0.0000)
S (0.0000, 0.0000, 0.5000)
O (0.1278, 0.2556, 0.6578)
O (0.1278, 0.8722, 0.6578)
O (0.2556, 0.1278, 0.3422)
O (0.7444, 0.8722, 0.6578)
O (0.8722, 0.1278, 0.3422)
O (0.8722, 0.7444, 0.3422)

Here is an optimized crystal structure of KSrS2O8 from the Alexandria database. Energies are from PBE-GGA.

Summary:
Formation energy without anion corrections ... -1801 meV/atom

Lattice parameters (Å, degrees): 5.6193 5.6193 8.1092 90.00 90.00 120.00
Positions (direct):
K (0.0000, 0.0000, 0.0000)
Sr (0.0000, 0.0000, 0.5000)
S (0.3333, 0.6667, 0.7664)
S (0.6667, 0.3333, 0.2336)
O (0.1813, 0.3787, 0.7049)
O (0.1974, 0.8187, 0.7049)
O (0.3333, 0.6667, 0.9490)
O (0.3787, 0.1974, 0.2951)
O (0.6213, 0.8026, 0.7049)
O (0.6667, 0.3333, 0.0510)
O (0.8026, 0.1813, 0.2951)
O (0.8187, 0.6213, 0.2951)

Here is an optimized crystal structure of K7TaS6O24 from the Alexandria database. Energies are from PBE-GGA.

Summary:
Formation energy without anion corrections ... -1850 meV/atom

Lattice parameters (Å, degrees): 9.4545 9.4545 9.4545 109.46 109.46 109.46
Positions (direct):
K (0.0000, 0.0000, 0.0000)
K (0.1655, 0.6631, 0.8239)
K (0.1761, 0.8345, 0.3369)
K (0.3369, 0.1761, 0.8345)
K (0.6631, 0.8239, 0.1655)
K (0.8239, 0.1655, 0.6631)
K (0.8345, 0.3369, 0.1762)
Ta (0.5000, 0.5000, 0.5000)
S (0.1187, 0.2457, 0.4685)
S (0.2457, 0.4685, 0.1187)
S (0.4685, 0.1187, 0.2457)
S (0.5315, 0.8813, 0.7543)
S (0.7543, 0.5315, 0.8813)
S (0.8813, 0.7543, 0.5315)
O (0.0238, 0.8514, 0.7124)
O (0.0740, 0.3352, 0.5910)
O (0.1394, 0.5151, 0.1863)
O (0.1486, 0.2876, 0.9762)
O (0.1863, 0.1394, 0.5151)
O (0.2687, 0.3929, 0.4780)
O (0.2876, 0.9762, 0.1486)
O (0.3352, 0.5910, 0.0740)
O (0.3929, 0.4780, 0.2687)
O (0.4090, 0.9260, 0.6648)
O (0.4780, 0.2687, 0.3929)
O (0.4849, 0.8137, 0.8606)
O (0.5151, 0.1863, 0.1394)
O (0.5220, 0.7313, 0.6071)
O (0.5910, 0.0740, 0.3352)
O (0.6071, 0.5220, 0.7313)
O (0.6648, 0.4090, 0.9260)
O (0.7124, 0.0238, 0.8514)
O (0.7313, 0.6071, 0.5220)
O (0.8137, 0.8606, 0.4849)
O (0.8514, 0.7124, 0.0238)
O (0.8606, 0.4849, 0.8137)
O (0.9260, 0.6648, 0.4090)
O (0.9762, 0.1486, 0.2876)

Here is an optimized crystal structure of KTaS2O from the Alexandria database. Energies are from PBE-GGA.

Summary:
Formation energy without anion corrections ... -1527 meV/atom

Lattice parameters (Å, degrees): 4.9528 4.9528 3.9542 90.00 90.00 90.00
Positions (direct):
K (0.0000, 0.0000, 0.0000)
Ta (0.5000, 0.5000, 0.5000)
S (0.0000, 0.5000, 0.5000)
S (0.5000, 0.0000, 0.5000)
O (0.5000, 0.5000, 0.0000)

Here is an optimized crystal structure of KTaSO2 from the Alexandria database. Energies are from PBE-GGA.

Summary:
Formation energy without anion corrections ... -2101 meV/atom

Lattice parameters (Å, degrees): 3.8522 3.8522 6.3987 90.00 90.00 90.00
Positions (direct):
K (0.0000, 0.0000, 0.0000)
Ta (0.5000, 0.5000, 0.4051)
S (0.5000, 0.5000, 0.7561)
O (0.0000, 0.5000, 0.3260)
O (0.5000, 0.0000, 0.3260)

Here is an optimized crystal structure of KTaSO2 from the Alexandria database. Energies are from PBE-GGA.

Summary:
Formation energy without anion corrections ... -2000 meV/atom

Lattice parameters (Å, degrees): 4.0499 4.0499 4.9518 90.00 90.00 90.00
Positions (direct):
K (0.0000, 0.0000, 0.0000)
Ta (0.5000, 0.5000, 0.5000)
S (0.5000, 0.5000, 0.0000)
O (0.0000, 0.5000, 0.5000)
O (0.5000, 0.0000, 0.5000)

Here is an optimized crystal structure of KTbSO from the Alexandria database. Energies are from PBE-GGA.

Summary:
Formation energy without anion corrections ... -2187 meV/atom

Lattice parameters (Å, degrees): 3.7383 3.7383 7.4722 104.38 104.38 60.01
Positions (direct):
K (0.0000, 0.0000, 0.0000)
Tb (0.1579, 0.1579, 0.4700)
S (0.5701, 0.5701, 0.7083)
O (0.7797, 0.7797, 0.3349)

Here is an optimized crystal structure of K2Tb4S3O2 from the Alexandria database. Energies are from PBE-GGA.

Summary:
Formation energy without anion corrections ... -1866 meV/atom

Lattice parameters (Å, degrees): 12.2116 12.2116 12.2116 158.43 158.43 30.69
Positions (direct):
K (0.2032, 0.2032, 0.0000)
K (0.7968, 0.7968, 0.0000)
Tb (0.0740, 0.5740, 0.5000)
Tb (0.4260, 0.9260, 0.5000)
Tb (0.5740, 0.0740, 0.5000)
Tb (0.9260, 0.4260, 0.5000)
S (0.3461, 0.3461, 0.0000)
S (0.5000, 0.5000, 0.0000)
S (0.6539, 0.6539, 0.0000)
O (0.0933, 0.0933, 0.0000)
O (0.9067, 0.9067, 0.0000)

Here is an optimized crystal structure of KTbS2O8 from the Alexandria database. Energies are from PBE-GGA.

Summary:
Formation energy without anion corrections ... -2087 meV/atom

Lattice parameters (Å, degrees): 5.3713 5.3713 8.1330 90.00 90.00 120.00
Positions (direct):
K (0.0000, 0.0000, 0.0000)
Tb (0.0000, 0.0000, 0.5000)
S (0.3333, 0.6667, 0.7386)
S (0.6667, 0.3333, 0.2614)
O (0.1284, 0.3734, 0.6728)
O (0.2449, 0.8716, 0.6728)
O (0.3333, 0.6667, 0.9175)
O (0.3734, 0.2449, 0.3272)
O (0.6266, 0.7551, 0.6728)
O (0.6667, 0.3333, 0.0825)
O (0.7551, 0.1284, 0.3272)
O (0.8716, 0.6266, 0.3272)

Here is an optimized crystal structure of K2TbSO6 from the Alexandria database. Energies are from PBE-GGA.

Summary:
Formation energy without anion corrections ... -1619 meV/atom

Lattice parameters (Å, degrees): 6.1658 6.1658 5.6330 90.00 90.00 120.00
Positions (direct):
K (0.3333, 0.6667, 0.4010)
K (0.6667, 0.3333, 0.5990)
Tb (0.0000, 0.0000, 0.0000)
S (0.0000, 0.0000, 0.5000)
O (0.1289, 0.2578, 0.6760)
O (0.1289, 0.8711, 0.6760)
O (0.2578, 0.1289, 0.3240)
O (0.7422, 0.8711, 0.6760)
O (0.8711, 0.1289, 0.3240)
O (0.8711, 0.7422, 0.3240)

Here is an optimized crystal structure of KTeS2O8 from the Alexandria database. Energies are from PBE-GGA.

Summary:
Formation energy without anion corrections ... -1223 meV/atom

Lattice parameters (Å, degrees): 4.9749 4.9749 8.9346 90.00 90.00 120.00
Positions (direct):
K (0.0000, 0.0000, 0.0000)
Te (0.0000, 0.0000, 0.5000)
S (0.3333, 0.6667, 0.7401)
S (0.6667, 0.3333, 0.2599)
O (0.0664, 0.3653, 0.6833)
O (0.2989, 0.9336, 0.6833)
O (0.3333, 0.6667, 0.9038)
O (0.3653, 0.2989, 0.3167)
O (0.6347, 0.7011, 0.6833)
O (0.6667, 0.3333, 0.0962)
O (0.7011, 0.0664, 0.3167)
O (0.9336, 0.6347, 0.3167)

Here is an optimized crystal structure of KThS2O8 from the Alexandria database. Energies are from PBE-GGA.

Summary:
Formation energy without anion corrections ... -1869 meV/atom

Lattice parameters (Å, degrees): 9.0812 9.0812 9.0812 33.12 33.12 33.12
Positions (direct):
K (0.0000, 0.0000, 0.0000)
Th (0.5000, 0.5000, 0.5000)
S (0.2490, 0.2490, 0.2490)
S (0.7510, 0.7510, 0.7510)
O (0.0508, 0.7583, 0.5074)
O (0.2417, 0.4926, 0.9492)
O (0.3056, 0.3056, 0.3056)
O (0.4926, 0.9492, 0.2417)
O (0.5074, 0.0508, 0.7583)
O (0.6944, 0.6944, 0.6944)
O (0.7583, 0.5074, 0.0508)
O (0.9492, 0.2417, 0.4926)

Here is an optimized crystal structure of KTiSO5 from the Alexandria database. Energies are from PBE-GGA.

Summary:
Formation energy without anion corrections ... -1963 meV/atom

Lattice parameters (Å, degrees): 5.8603 5.8603 7.2073 104.72 104.72 106.13
Positions (direct):
K (0.1645, 0.8355, 0.7500)
K (0.8355, 0.1645, 0.2500)
Ti (0.5000, 0.5000, 0.0000)
Ti (0.5000, 0.5000, 0.5000)
S (0.1895, 0.8105, 0.2500)
S (0.8105, 0.1895, 0.7500)
O (0.0731, 0.2663, 0.8948)
O (0.1967, 0.6337, 0.3678)
O (0.2663, 0.0731, 0.3948)
O (0.3663, 0.8033, 0.1322)
O (0.4420, 0.5580, 0.7500)
O (0.5580, 0.4420, 0.2500)
O (0.6337, 0.1967, 0.8678)
O (0.7337, 0.9269, 0.6052)
O (0.8033, 0.3663, 0.6322)
O (0.9269, 0.7337, 0.1052)

Here is an optimized crystal structure of KTmS2O8 from the Alexandria database. Energies are from PBE-GGA.

Summary:
Formation energy without anion corrections ... -2104 meV/atom

Lattice parameters (Å, degrees): 5.2939 5.2939 8.1257 90.00 90.00 120.00
Positions (direct):
K (0.0000, 0.0000, 0.0000)
Tm (0.0000, 0.0000, 0.5000)
S (0.3333, 0.6667, 0.7329)
S (0.6667, 0.3333, 0.2671)
O (0.1215, 0.3704, 0.6674)
O (0.2488, 0.8785, 0.6674)
O (0.3333, 0.6667, 0.9120)
O (0.3704, 0.2488, 0.3326)
O (0.6296, 0.7512, 0.6674)
O (0.6667, 0.3333, 0.0880)
O (0.7512, 0.1215, 0.3326)
O (0.8785, 0.6296, 0.3326)

Here is an optimized crystal structure of KUS2O from the Alexandria database. Energies are from PBE-GGA.

Summary:
Formation energy without anion corrections ... -1867 meV/atom

Lattice parameters (Å, degrees): 7.5793 4.0541 8.8826 90.00 106.14 90.00
Positions (direct):
K (0.1976, 0.2500, 0.3160)
K (0.8024, 0.7500, 0.6840)
U (0.3113, 0.2500, 0.8226)
U (0.6887, 0.7500, 0.1774)
S (0.3219, 0.7500, 0.0384)
S (0.3442, 0.7500, 0.6377)
S (0.6558, 0.2500, 0.3623)
S (0.6781, 0.2500, 0.9616)
O (0.0542, 0.2500, 0.7600)
O (0.9458, 0.7500, 0.2400)

Here is an optimized crystal structure of K2US3O from the Alexandria database. Energies are from PBE-GGA.

Summary:
Formation energy without anion corrections ... -1666 meV/atom

Lattice parameters (Å, degrees): 8.9898 8.9898 8.9898 152.97 146.01 43.96
Positions (direct):
K (0.1540, 0.1540, 0.0000)
K (0.8460, 0.8460, 0.0000)
U (0.5000, 0.5000, 0.0000)
S (0.0000, 0.5000, 0.5000)
S (0.3504, 0.3504, 0.0000)
S (0.6496, 0.6496, 0.0000)
O (0.5000, 0.0000, 0.5000)

Here is an optimized crystal structure of K2USO3 from the Alexandria database. Energies are from PBE-GGA.

Summary:
Formation energy without anion corrections ... -2321 meV/atom

Lattice parameters (Å, degrees): 7.5800 7.5800 7.5800 146.88 137.78 54.68
Positions (direct):
K (0.1601, 0.1601, 0.0000)
K (0.8399, 0.8399, 0.0000)
U (0.5000, 0.5000, 0.0000)
S (0.0000, 0.5000, 0.5000)
O (0.3583, 0.3583, 0.0000)
O (0.5000, 0.0000, 0.5000)
O (0.6417, 0.6417, 0.0000)